Record 1
A PBEsol-optimized structure of ZrRuCl2, computed with SCAN.

Values from the calculation:
Energy relative to the elements, uncorrected in eV/atom: -0.7508
Calculated total energy in eV per atom: -21.12
Total magnetic moment in μB/atom: 0.000
Density of states at the Fermi level in states/eV/atom: 0.38
Offset from the most stable computed form in meV per atom: 0.0

Lattice parameters (Å, degrees): 3.5654 3.7598 6.4119 90.00 100.80 90.00
Closest atoms and distances in Å follow each position.
Atoms (fractional coordinates):
Zr 0.0000 0.0000 0.0000  4 Ru 2.54-2.72, 3 Cl 2.64-2.73
Ru 0.4384 0.5000 0.9277  3 Cl 2.36-2.52, 2 Zr 2.54
Cl 0.4406 0.0000 0.6668  2 Ru 2.52, 1 Zr 2.64
Cl 0.8127 0.5000 0.2725  1 Ru 2.36



Record 2
A PBEsol-optimized structure of ZrRu2Cl, computed with SCAN.

Values from the calculation:
Energy relative to the elements, uncorrected in eV/atom: -0.2115
Calculated total energy in eV per atom: -27.29
Total magnetic moment in μB/atom: 0.000
Density of states at the Fermi level in states/eV/atom: 0.46
Offset from the most stable computed form in meV per atom: 0.0

Lattice parameters (Å, degrees): 3.2622 3.2622 7.0107 90.00 90.00 90.00
Closest atoms and distances in Å follow each position.
Atoms (fractional coordinates):
Zr 0.0000 0.0000 0.0000  1 Ru 2.56, 4 Cl 2.78
Ru 0.0000 0.0000 0.6355  4 Ru 2.45, 1 Zr 2.56
Ru 0.5000 0.5000 0.7531  4 Ru 2.45
Cl 0.5000 0.5000 0.2221  4 Zr 2.78



Record 3
A PBEsol-optimized structure of ZrRuCl2, computed with SCAN.

Values from the calculation:
Energy relative to the elements, uncorrected in eV/atom: -0.2639
Calculated total energy in eV per atom: -20.63
Total magnetic moment in μB/atom: 0.278
Density of states at the Fermi level in states/eV/atom: 0.42
Offset from the most stable computed form in meV per atom: 486.9

Lattice parameters (Å, degrees): 5.2268 5.2268 5.2268 146.87 118.94 71.26
Closest atoms and distances in Å follow each position.
Atoms (fractional coordinates):
Zr 0.0000 0.0000 0.0000  4 Cl 2.66
Ru 0.5000 0.5000 0.0000  4 Cl 2.53
Cl 0.2588 0.7588 0.5000  2 Ru 2.53, 2 Zr 2.66
Cl 0.7412 0.2412 0.5000  2 Ru 2.53, 2 Zr 2.66



Record 4
A PBEsol-optimized structure of ZrRu2Cl, computed with SCAN.

Values from the calculation:
Energy relative to the elements, uncorrected in eV/atom: 0.1123
Calculated total energy in eV per atom: -26.97
Total magnetic moment in μB/atom: 0.000
Density of states at the Fermi level in states/eV/atom: 0.92
Offset from the most stable computed form in meV per atom: 323.9

Lattice parameters (Å, degrees): 4.8944 4.8944 4.5757 103.04 103.04 35.52
Closest atoms and distances in Å follow each position.
Atoms (fractional coordinates):
Zr 0.0000 0.0000 0.0000  3 Cl 2.63-2.66, 4 Ru 2.72-2.74
Ru 0.2304 0.2304 0.5875  2 Cl 2.55, 3 Ru 2.59-2.62
Ru 0.4974 0.4974 0.4959  3 Ru 2.59-2.62, 4 Zr 2.72-2.74
Cl 0.7424 0.7424 0.1412  2 Ru 2.55, 3 Zr 2.63-2.66



Record 5
A PBEsol-optimized structure of ZrRuCl2, computed with SCAN.

Values from the calculation:
Energy relative to the elements, uncorrected in eV/atom: -0.3549
Calculated total energy in eV per atom: -20.73
Total magnetic moment in μB/atom: 0.000
Density of states at the Fermi level in states/eV/atom: 0.50
Offset from the most stable computed form in meV per atom: 395.9

Lattice parameters (Å, degrees): 5.1040 5.0592 4.0654 67.00 65.84 47.16
Closest atoms and distances in Å follow each position.
Atoms (fractional coordinates):
Zr 0.0000 0.0000 0.0000  4 Cl 2.55, 2 Ru 2.83
Ru 0.5000 0.5000 0.5000  4 Cl 2.55, 2 Zr 2.83
Cl 0.0000 0.5000 0.5000  2 Zr 2.55, 2 Ru 2.55, 2 Cl 2.83
Cl 0.5000 0.0000 0.0000  2 Zr 2.55, 2 Ru 2.55, 2 Cl 2.83



Record 6
A PBEsol-optimized structure of ZrRuCl2, computed with SCAN.

Values from the calculation:
Energy relative to the elements, uncorrected in eV/atom: -0.3017
Calculated total energy in eV per atom: -20.67
Total magnetic moment in μB/atom: 0.679
Density of states at the Fermi level in states/eV/atom: 0.45
Offset from the most stable computed form in meV per atom: 449.1

Lattice parameters (Å, degrees): 9.4594 9.4594 9.4594 18.61 18.61 18.61
Closest atoms and distances in Å follow each position.
Atoms (fractional coordinates):
Zr 0.0000 0.0000 0.0000  6 Cl 2.57
Ru 0.5000 0.5000 0.5000  6 Ru 3.06, 6 Cl 3.29
Cl 0.2664 0.2664 0.2664  3 Zr 2.57
Cl 0.7336 0.7336 0.7336  3 Zr 2.57



Record 7
A PBEsol-optimized structure of ScSbSCl2, computed with SCAN.

Values from the calculation:
Energy relative to the elements, uncorrected in eV/atom: -0.2143
Calculated total energy in eV per atom: -15.63
Total magnetic moment in μB/atom: 0.318
Density of states at the Fermi level in states/eV/atom: 0.76

Lattice parameters (Å, degrees): 5.2107 5.2107 5.1742 90.00 90.00 90.00
Closest atoms and distances in Å follow each position.
Atoms (fractional coordinates):
Sc 0.0000 0.0000 0.0000  8 Cl 3.67, 4 S 3.68
Sb 0.5000 0.5000 0.5000  2 S 2.59, 4 Cl 2.61
S 0.5000 0.5000 0.0000  2 Sb 2.59
Cl 0.0000 0.5000 0.5000  2 Sb 2.61
Cl 0.5000 0.0000 0.5000  2 Sb 2.61



Record 8
A PBEsol-optimized structure of SnSbS2Cl, computed with SCAN.

Values from the calculation:
Energy relative to the elements, uncorrected in eV/atom: -0.0192
Calculated total energy in eV per atom: -20.10
Total magnetic moment in μB/atom: 0.000
Density of states at the Fermi level in states/eV/atom: 0.20

Lattice parameters (Å, degrees): 5.1117 5.1117 4.9880 90.00 90.00 90.00
Closest atoms and distances in Å follow each position.
Atoms (fractional coordinates):
Sn 0.0000 0.0000 0.0000  8 S 3.57, 4 Cl 3.61
Sb 0.5000 0.5000 0.5000  2 Cl 2.49, 4 S 2.56
S 0.0000 0.5000 0.5000  2 Sb 2.56
S 0.5000 0.0000 0.5000  2 Sb 2.56
Cl 0.5000 0.5000 0.0000  2 Sb 2.49



Record 9
A PBEsol-optimized structure of SbWS2Cl, computed with SCAN.

Values from the calculation:
Energy relative to the elements, uncorrected in eV/atom: 1.2770
Calculated total energy in eV per atom: -25.56
Total magnetic moment in μB/atom: 0.853
Density of states at the Fermi level in states/eV/atom: 0.54

Lattice parameters (Å, degrees): 5.0430 5.0430 4.8820 90.00 90.00 90.00
Closest atoms and distances in Å follow each position.
Atoms (fractional coordinates):
Sb 0.0000 0.0000 0.0000  2 Cl 2.44, 4 S 2.52
W 0.5000 0.5000 0.5000  8 S 3.51, 4 Cl 3.57
S 0.0000 0.5000 0.0000  2 Sb 2.52
S 0.5000 0.0000 0.0000  2 Sb 2.52
Cl 0.0000 0.0000 0.5000  2 Sb 2.44



Record 10
A PBEsol-optimized structure of Sc3SCl, computed with SCAN.

Values from the calculation:
Energy relative to the elements, uncorrected in eV/atom: -0.5783
Calculated total energy in eV per atom: -12.64
Total magnetic moment in μB/atom: 0.839
Density of states at the Fermi level in states/eV/atom: 0.88

Lattice parameters (Å, degrees): 4.8268 4.8268 4.8268 90.00 90.00 90.00
Closest atoms and distances in Å follow each position.
Atoms (fractional coordinates):
Sc 0.0000 0.0000 0.5000  2 S 2.41
Sc 0.0000 0.5000 0.0000  2 S 2.41
Sc 0.5000 0.0000 0.0000  2 S 2.41
S 0.0000 0.0000 0.0000  6 Sc 2.41
Cl 0.5000 0.5000 0.5000  12 Sc 3.41



Record 11
A PBEsol-optimized structure of ScSeS2Cl, computed with SCAN.

Values from the calculation:
Energy relative to the elements, uncorrected in eV/atom: -0.0994
Calculated total energy in eV per atom: -12.41
Total magnetic moment in μB/atom: 0.144
Density of states at the Fermi level in states/eV/atom: 0.74

Lattice parameters (Å, degrees): 4.8001 4.8001 4.6947 90.00 90.00 90.00
Closest atoms and distances in Å follow each position.
Atoms (fractional coordinates):
Sc 0.0000 0.0000 0.0000  8 S 3.36, 4 Cl 3.39
Se 0.5000 0.5000 0.5000  2 Cl 2.35, 4 S 2.40
S 0.0000 0.5000 0.5000  2 Se 2.40
S 0.5000 0.0000 0.5000  2 Se 2.40
Cl 0.5000 0.5000 0.0000  2 Se 2.35



Record 12
A PBEsol-optimized structure of ScSeSCl2, computed with SCAN.

Values from the calculation:
Energy relative to the elements, uncorrected in eV/atom: -0.1194
Calculated total energy in eV per atom: -12.10
Total magnetic moment in μB/atom: 0.212
Density of states at the Fermi level in states/eV/atom: 0.38

Lattice parameters (Å, degrees): 4.9602 4.9602 4.8294 90.00 90.00 90.00
Closest atoms and distances in Å follow each position.
Atoms (fractional coordinates):
Sc 0.0000 0.0000 0.0000  8 Cl 3.46, 4 S 3.51
Se 0.5000 0.5000 0.5000  2 S 2.41, 4 Cl 2.48
S 0.5000 0.5000 0.0000  2 Se 2.41
Cl 0.0000 0.5000 0.5000  2 Se 2.48
Cl 0.5000 0.0000 0.5000  2 Se 2.48